(1)
The following is a SCAN calculation of a PBEsol-optimized structure of TiCdHg2, from Alexandria via LeMat-Bulk.

Calculated values
The density is 12.15 g/cm³. The raw total energy is -45.7503 eV/atom. As for the volume: 19.189 Å³ per atom.

a b c (Å): 4.022 4.369 4.369
angles (deg): 90.00 90.00 90.00
Fractional coordinates of all 4 atoms:
Hg1 0.500 0.500 0.000
Hg2 0.500 0.000 0.500
Ti1 0.000 0.500 0.500
Cd1 0.000 0.000 0.000



(2)
The following is a SCAN calculation of a PBEsol-optimized structure of Li3Cu, from Alexandria via LeMat-Bulk.

Calculated values
The density is 2.38 g/cm³. The raw total energy is -5.5274 eV/atom. As for the volume: 14.735 Å³ per atom.

a b c (Å): 2.718 2.718 9.213
angles (deg): 90.00 90.00 120.00
Fractional coordinates of all 4 atoms:
Cu1 0.000 0.000 0.000
Li1 0.333 0.667 0.774
Li2 0.333 0.667 0.226
Li3 0.000 0.000 0.500



(3)
The following is a SCAN calculation of a PBEsol-optimized structure of TaTc3Br, from Alexandria via LeMat-Bulk.

Calculated values
As for the uncorrected formation energy: 44.877 kcal/mol of atoms. The density is 8.53 g/cm³. As for the volume: 21.615 Å³ per atom.

a b c (Å): 4.763 4.763 4.763
angles (deg): 90.00 90.00 90.00
Fractional coordinates of all 5 atoms:
Tc1 0.500 0.000 0.000
Tc2 0.000 0.500 0.000
Tc3 0.000 0.000 0.500
Ta1 0.000 0.000 0.000
Br1 0.500 0.500 0.500



Which M_tot belongs to each record? In order, 1.3 0.0 6.9 μB/cell.